Entry 1:
TaTlSb | PBE | relaxed

Energy relative to the elements, uncorrected, eV/atom: 0.53
Fermi-level density of states, states/eV/cell: 2.0

abc: 5.0461 5.0461 3.1226
angles: 90.00 90.00 120.00
Space group P-6m2 (No. 187)
Asymmetric unit:
1 Ta 0.0000 0.0000 0.0000 [1 per cell]
2 Tl 0.3333 0.6667 0.5000 [1 per cell]
3 Sb 0.6667 0.3333 0.0000 [1 per cell]

Entry 2:
BC3 | PBE | relaxed

Energy of formation, eV per atom: 0.3072
Fermi-level density of states, states/eV/cell: 5.6

abc: 3.5872 11.5575 3.5897
angles: 90.00 90.50 90.00
Space group C2 (No. 5)
Asymmetric unit:
1 B 0.0000 0.0000 0.0000 [2 per cell]
2 B 0.0000 0.1684 0.5000 [2 per cell]
3 B 0.0000 0.5007 0.5000 [2 per cell]
4 C 0.0000 0.3313 0.0000 [2 per cell]
5 C 0.0000 0.6695 0.0000 [2 per cell]
6 C 0.0000 0.8306 0.5000 [2 per cell]
7 C 0.2429 0.5935 0.7577 [4 per cell]
8 C 0.2450 0.7526 0.2450 [4 per cell]
9 C 0.2484 0.4058 0.2529 [4 per cell]

Entry 3:
Ca2Cd2Ge | PBE | relaxed

Energy of formation, eV per atom: -0.0865
Fermi-level density of states, states/eV/cell: 7.0

abc: 8.0979 8.0979 4.4283
angles: 90.00 90.00 90.00
Space group P4/mbm (No. 127)
Asymmetric unit:
1 Ca 0.1638 0.3362 0.0000 [4 per cell]
2 Cd 0.1376 0.6376 0.5000 [4 per cell]
3 Ge 0.0000 0.0000 0.0000 [2 per cell]

Entry 4:
CaMo2Cl | PBE | relaxed

Energy relative to the elements, uncorrected, eV/atom: 0.99
Fermi-level density of states, states/eV/cell: 4.2

abc: 3.6407 3.6407 6.1252
angles: 90.00 90.00 90.00
Space group P4/mmm (No. 123)
Asymmetric unit:
1 Ca 0.0000 0.0000 0.0000 [1 per cell]
2 Mo 0.5000 0.5000 0.3167 [2 per cell]
3 Cl 0.0000 0.0000 0.5000 [1 per cell]

Number 1: E_tot -5.585 eV/atom. Number 2: E_tot -8.280 eV/atom. Number 3: E_tot -2.177 eV/atom. Number 4: E_tot -5.391 eV/atom.